Density functional theory data (PBE) for BeFeTe2 after structural relaxation.

Energy relative to the elements, uncorrected = 82 kJ/mol of formula units
Crystal system = trigonal
Total magnetization = 3.12 μB/f.u.

Cell: 3.7475 3.7475 19.4554 Å, 90.00 90.00 120.00°
Last column: nearest neighbours and their distance in Å.
Element x y z (fractional)
Be (0.0000, 0.0000, 0.0000)  6 Te 2.66
Be (0.3333, 0.6667, 0.6667)  6 Te 2.66
Be (0.6667, 0.3333, 0.3333)  6 Te 2.66
Fe (0.0000, 0.0000, 0.5000)  6 Te 2.75
Fe (0.3333, 0.6667, 0.1667)  6 Te 2.75
Fe (0.6667, 0.3333, 0.8333)  6 Te 2.75
Te (0.0000, 0.0000, 0.2541)  3 Be 2.66, 3 Fe 2.75
Te (0.0000, 0.0000, 0.7459)  3 Be 2.66, 3 Fe 2.75
Te (0.3333, 0.6667, 0.4126)  3 Be 2.66, 3 Fe 2.75
Te (0.3333, 0.6667, 0.9207)  3 Be 2.66, 3 Fe 2.75
Te (0.6667, 0.3333, 0.0793)  3 Be 2.66, 3 Fe 2.75
Te (0.6667, 0.3333, 0.5874)  3 Be 2.66, 3 Fe 2.75